A relaxed CeCdPd6 crystal, computed with PBE.

Calculated values
M_tot in μB/f.u.: 0.0
Fermi-level density of states in states/eV/cell: 1.9
DFT formation energy in eV per atom: -0.56
E above lowest polymorph in meV per atom: 13

Structure (POSCAR):
```
CeCdPd6
1.0
-3.615 2.091 2.098
-3.622 -3.913 -2.342
2.425 -1.020 5.195
Pd Cd Ce
6 1 1
Direct
0.500 0.913 0.576
0.500 0.424 0.087
0.500 0.914 0.086
0.000 0.585 0.415
0.000 0.079 0.415
0.000 0.585 0.921
0.500 0.416 0.584
0.000 0.084 0.916
```

A relaxed Ce2CdPd2 crystal, computed with PBE.

Calculated values
M_tot in μB/f.u.: 1.3
Fermi-level density of states in states/eV/cell: 23.4
DFT formation energy in eV per atom: -0.65

Structure (POSCAR):
```
Ce2CdPd2
1.0
-2.910 -3.206 -6.528
6.987 -3.185 -1.551
-0.978 -3.098 1.957
Ce Pd Cd
4 4 2
Direct
0.328 0.828 0.500
0.828 0.672 0.500
0.672 0.172 0.500
0.172 0.328 0.500
0.130 0.630 0.000
0.370 0.130 0.000
0.630 0.870 0.000
0.870 0.370 0.000
0.500 0.500 0.000
0.000 0.000 0.000
```

A relaxed Ce2CdPd crystal, computed with PBE.

Calculated values
M_tot in μB/f.u.: 0.3
Fermi-level density of states in states/eV/cell: 16.3
DFT formation energy in eV per atom: -0.33
E above lowest polymorph in meV per atom: 57

Structure (POSCAR):
```
Ce2CdPd
1.0
-4.768 -3.913 1.325
-1.343 -4.814 -4.028
1.269 -6.071 1.657
Cd Ce Pd
2 4 2
Direct
0.250 0.207 0.293
0.750 0.793 0.707
0.271 0.729 0.229
0.229 0.271 0.771
0.729 0.271 0.771
0.771 0.729 0.229
0.750 0.250 0.250
0.250 0.750 0.750
```

A relaxed CeCd2Pd5 crystal, computed with PBE.

Calculated values
M_tot in μB/f.u.: 0.2
Fermi-level density of states in states/eV/cell: 5.2
DFT formation energy in eV per atom: -0.58

Structure (POSCAR):
```
CeCd2Pd5
1.0
3.947 0.000 -1.480
-0.555 3.908 -1.480
0.910 1.048 8.430
Pd Ce Cd
5 1 2
Direct
0.626 0.126 0.251
0.126 0.626 0.251
0.374 0.874 0.749
0.874 0.374 0.749
0.500 0.500 0.000
0.000 0.000 0.000
0.746 0.746 0.492
0.254 0.254 0.508
```